Ta11Ir9Pt4: optimized geometry, GGA-PBE.

Cell lengths 12.2145, 12.2145, 2.8765 Å; angles 90.00, 90.00, 113.94 degrees
With the nearest neighbours (Å) after each atom.
Element x y z (fractional)
Ta: 0.0000 0.0000 0.0000  4 Ta 2.75-2.88, 8 Ir 2.82
Ta: 0.0416 0.4058 0.0000  6 Ir 2.75-2.94, 2 Pt 2.84, 4 Ta 2.87-2.99
Ta: 0.1925 0.8075 0.0000  8 Ir 2.76-2.82, 4 Ta 2.88-2.99
Ta: 0.2068 0.2068 0.0000  3 Ta 2.75-2.88, 4 Pt 2.76, 4 Ir 2.78
Ta: 0.3801 0.6199 0.0000  4 Pt 2.81, 6 Ir 2.85, 2 Ta 2.88
Ta: 0.4058 0.0416 0.0000  6 Ir 2.75-2.94, 2 Pt 2.84, 4 Ta 2.87-2.99
Ta: 0.5942 0.9584 0.0000  6 Ir 2.75-2.94, 2 Pt 2.84, 4 Ta 2.87-2.99
Ta: 0.6199 0.3801 0.0000  4 Pt 2.81, 6 Ir 2.85, 2 Ta 2.88
Ta: 0.7932 0.7932 0.0000  3 Ta 2.75-2.88, 4 Pt 2.76, 4 Ir 2.78
Ta: 0.8075 0.1925 0.0000  8 Ir 2.76-2.82, 4 Ta 2.88-2.99
Ta: 0.9584 0.5942 0.0000  6 Ir 2.75-2.94, 2 Pt 2.84, 4 Ta 2.87-2.99
Ir: 0.0098 0.2024 0.5000  8 Ta 2.76-2.82, 3 Ir 2.83-2.88, 1 Pt 2.96
Ir: 0.1738 0.6082 0.5000  8 Ta 2.75-2.94, 1 Pt 2.86, 3 Ir 2.88-2.90
Ir: 0.2024 0.0098 0.5000  8 Ta 2.76-2.82, 3 Ir 2.83-2.88, 1 Pt 2.96
Ir: 0.3918 0.8262 0.5000  8 Ta 2.75-2.94, 1 Pt 2.86, 3 Ir 2.88-2.90
Ir: 0.5000 0.5000 0.5000  4 Ta 2.85, 4 Pt 2.86, 2 Ir 2.88
Ir: 0.6082 0.1738 0.5000  8 Ta 2.75-2.94, 1 Pt 2.86, 3 Ir 2.88-2.90
Ir: 0.7976 0.9902 0.5000  8 Ta 2.76-2.82, 3 Ir 2.83-2.88, 1 Pt 2.96
Ir: 0.8262 0.3918 0.5000  8 Ta 2.75-2.94, 1 Pt 2.86, 3 Ir 2.88-2.90
Ir: 0.9902 0.7976 0.5000  8 Ta 2.76-2.82, 3 Ir 2.83-2.88, 1 Pt 2.96
Pt: 0.2442 0.4115 0.5000  6 Ta 2.76-2.84, 3 Ir 2.86-2.96, 2 Pt 2.88
Pt: 0.4115 0.2442 0.5000  6 Ta 2.76-2.84, 3 Ir 2.86-2.96, 2 Pt 2.88
Pt: 0.5885 0.7558 0.5000  6 Ta 2.76-2.84, 3 Ir 2.86-2.96, 2 Pt 2.88
Pt: 0.7558 0.5885 0.5000  6 Ta 2.76-2.84, 3 Ir 2.86-2.96, 2 Pt 2.88

Computed properties:
- Spin magnetization: 0.0 μB/f.u.
- Symmetry: Cmmm
- Energy of formation: -1287 kJ/mol of formula units
- Total energy: -0.7584 Ry per atom

---

KPt2Br: optimized geometry, GGA-PBE.

Cell lengths 13.1212, 13.1212, 13.1212 Å; angles 12.39, 12.39, 12.39 degrees
With the nearest neighbours (Å) after each atom.
Element x y z (fractional)
K: 0.0000 0.0000 0.0000  6 K 2.83
Pt: 0.2635 0.2635 0.2635  6 Pt 2.83
Pt: 0.7365 0.7365 0.7365  6 Pt 2.83
Br: 0.5000 0.5000 0.5000  6 Br 2.83

Computed properties:
- Spin magnetization: 0.9 μB/f.u.
- Symmetry: R-3m
- Energy relative to the elements, uncorrected: 508 meV per atom
- Polymorph energy (0 for the lowest one): 2.807 eV/f.u.
- Total energy: -0.2356 Ry per atom

---

SiSO2: optimized geometry, GGA-PBE.

Cell lengths 5.2992, 5.2992, 5.2992 Å; angles 60.00, 60.00, 60.00 degrees
With the nearest neighbours (Å) after each atom.
Element x y z (fractional)
Si: 0.1250 0.1250 0.1250  4 O 1.62
Si: 0.8750 0.8750 0.8750  4 O 1.62
S: 0.3750 0.3750 0.3750  12 O 3.11, 4 S 3.25, 4 Si 3.25
S: 0.6250 0.6250 0.6250  12 O 3.11, 4 Si 3.25, 4 S 3.25
O: 0.0000 0.0000 0.0000  2 Si 1.62
O: 0.0000 0.0000 0.5000  2 Si 1.62
O: 0.0000 0.5000 0.0000  2 Si 1.62
O: 0.5000 0.0000 0.0000  2 Si 1.62

Computed properties:
- Spin magnetization: 0.0 μB/f.u.
- Symmetry: Fd-3m
- Energy relative to the elements, uncorrected: -1344 meV per atom
- Polymorph energy (0 for the lowest one): 0.811 eV/f.u.
- Total energy: -0.4565 Ry per atom

---

Si2MoP: optimized geometry, GGA-PBE.

Cell lengths 3.3000, 3.3000, 5.0666 Å; angles 90.00, 90.00, 90.00 degrees
With the nearest neighbours (Å) after each atom.
Element x y z (fractional)
Si: 0.0000 0.0000 0.2434  2 Si 2.47-2.60, 4 P 2.64, 4 Mo 2.67
Si: 0.0000 0.0000 0.7566  2 Si 2.47-2.60, 4 P 2.64, 4 Mo 2.67
Mo: 0.5000 0.5000 0.5000  2 P 2.53, 8 Si 2.67
P: 0.5000 0.5000 0.0000  2 Mo 2.53, 8 Si 2.64

Computed properties:
- Spin magnetization: 0.0 μB/f.u.
- Symmetry: P4/mmm
- Energy relative to the elements, uncorrected: 14 meV per atom
- Total energy: -0.4967 Ry per atom

---

YAg2Mo: optimized geometry, GGA-PBE.

Cell lengths 5.3232, 5.3232, 5.3232 Å; angles 132.63, 132.63, 69.24 degrees
With the nearest neighbours (Å) after each atom.
Element x y z (fractional)
Y: 0.0000 0.0000 0.0000  4 Mo 3.02, 8 Ag 3.06
Ag: 0.2500 0.7500 0.5000  4 Ag 3.02, 4 Mo 3.06, 4 Y 3.06
Ag: 0.7500 0.2500 0.5000  4 Ag 3.02, 4 Mo 3.06, 4 Y 3.06
Mo: 0.5000 0.5000 0.0000  4 Y 3.02, 8 Ag 3.06

Computed properties:
- Spin magnetization: 2.1 μB/f.u.
- Symmetry: I4/mmm
- Energy of formation: 135 kJ/mol of formula units
- Polymorph energy (0 for the lowest one): 0.222 eV/f.u.
- Total energy: -0.3969 Ry per atom

---

Tl2In2Hg: optimized geometry, GGA-PBE.

Cell lengths 9.0149, 9.0149, 9.0149 Å; angles 152.52, 152.52, 39.26 degrees
With the nearest neighbours (Å) after each atom.
Element x y z (fractional)
Tl: 0.0960 0.0960 0.0000  1 Tl 3.26, 4 In 3.38, 4 Hg 3.44
Tl: 0.9040 0.9040 0.0000  1 Tl 3.26, 4 In 3.38, 4 Hg 3.44
In: 0.2500 0.7500 0.5000  4 In 3.03, 4 Tl 3.38
In: 0.7500 0.2500 0.5000  4 In 3.03, 4 Tl 3.38
Hg: 0.5000 0.5000 0.0000  8 Tl 3.44

Computed properties:
- Spin magnetization: 0.0 μB/f.u.
- Symmetry: I4/mmm
- Energy of formation: 44 kJ/mol of formula units
- Polymorph energy (0 for the lowest one): 0.425 eV/f.u.
- Total energy: -0.1479 Ry per atom

---

Ru3RhCl: optimized geometry, GGA-PBE.

Cell lengths 4.2981, 4.2981, 4.2981 Å; angles 90.00, 90.00, 90.00 degrees
With the nearest neighbours (Å) after each atom.
Element x y z (fractional)
Ru: 0.0000 0.0000 0.5000  2 Cl 2.15
Ru: 0.0000 0.5000 0.0000  2 Cl 2.15
Ru: 0.5000 0.0000 0.0000  2 Cl 2.15
Rh: 0.5000 0.5000 0.5000  12 Ru 3.04
Cl: 0.0000 0.0000 0.0000  6 Ru 2.15

Computed properties:
- Spin magnetization: 0.0 μB/f.u.
- Symmetry: Pm-3m
- Energy relative to the elements, uncorrected: 1256 meV per atom
- Polymorph energy (0 for the lowest one): 0.000 eV/f.u.
- Total energy: -0.4520 Ry per atom

---

Be2AlNiPd: optimized geometry, GGA-PBE.

Cell lengths 4.1586, 4.1586, 4.5864 Å; angles 90.00, 90.00, 90.00 degrees
With the nearest neighbours (Å) after each atom.
Element x y z (fractional)
Be: 0.0000 0.5000 0.0000  2 Pd 2.08
Be: 0.5000 0.0000 0.0000  2 Pd 2.08
Al: 0.0000 0.0000 0.5000  2 Pd 2.29
Ni: 0.5000 0.5000 0.5000  4 Al 2.94, 8 Be 3.10
Pd: 0.0000 0.0000 0.0000  4 Be 2.08, 2 Al 2.29

Computed properties:
- Spin magnetization: 0.0 μB/f.u.
- Symmetry: P4/mmm
- Energy of formation: 252 kJ/mol of formula units
- Total energy: -0.2875 Ry per atom